1.
Below is an optimized crystal structure of Nd4TeN, with properties calculated at the PBE level.

Unit cell a=5.063 b=10.404 c=9.530 alpha=122.19 beta=90.00 gamma=104.08
Fractional coordinates of all 12 atoms:
Nd (0.611, 0.223, 0.675)
Nd (0.821, 0.642, 0.037)
Nd (0.978, 0.956, 0.652)
Nd (0.179, 0.358, 0.963)
Nd (0.022, 0.044, 0.348)
Nd (0.764, 0.527, 0.333)
Nd (0.389, 0.777, 0.325)
Nd (0.236, 0.473, 0.667)
Te (0.155, 0.311, 0.263)
Te (0.845, 0.689, 0.737)
N (0.896, 0.792, 0.359)
N (0.104, 0.208, 0.641)

Results
As for the crystal system: monoclinic. Its space group is C2/m, No. 12. The calculation puts the total energy at -5.76 eV per atom. As for the spin magnetization: 0.000 μB/atom.

***

2.
Below is an optimized crystal structure of TcHPtRh2, with properties calculated at the PBE level.

Unit cell a=3.922 b=3.922 c=3.943 alpha=90.00 beta=90.00 gamma=90.00
Fractional coordinates of all 5 atoms:
Rh (0.500, 0.000, 0.000)
Rh (0.000, 0.500, 0.000)
Tc (0.000, 0.000, 0.500)
H (0.000, 0.000, 0.000)
Pt (0.500, 0.500, 0.500)

Results
As for the crystal system: tetragonal. Its space group is P4/mmm, No. 123. The calculation puts the total energy at -6.88 eV per atom. As for the spin magnetization: 0.000 μB/atom.